No. 1
Here is a relaxed structure of CaAc2Sn3 from the Alexandria database. Energies are from PBE.

Values from the calculation:
The formation energy is -0.5097 eV/atom. Its space group is C2/c. As for the spin magnetization: 0.0 μB/f.u. The calculated total energy comes out at -4.214 eV per atom.

a = 5.9449 Å, b = 8.9656 Å, c = 8.9656 Å
α = 66.42°, β = 89.86°, γ = 89.86°
Fractional positions:
Ac1 0.7473 0.1703 0.5302
Ac2 0.2473 0.5302 0.1703
Ac3 0.7527 0.4698 0.8297
Ac4 0.2527 0.8297 0.4698
Ca1 0.7500 0.8943 0.1057
Ca2 0.2500 0.1057 0.8943
Sn1 0.2500 0.4233 0.5767
Sn2 0.5006 0.1812 0.1772
Sn3 0.0006 0.1772 0.1812
Sn4 0.9994 0.8228 0.8188
Sn5 0.7500 0.5767 0.4233
Sn6 0.4994 0.8188 0.8228

=====

No. 2
Here is a relaxed structure of NiAg3Pt from the Alexandria database. Energies are from PBE.

Values from the calculation:
The value obtained for the energy above the most stable polymorph in this dataset is 1.12 eV/f.u. The formation energy is 1.2459 eV/atom. Its space group is Pm-3m. As for the spin magnetization: 0.8 μB/f.u. The calculated total energy comes out at -2.829 eV per atom.

a = 5.0816 Å, b = 5.0816 Å, c = 5.0816 Å
α = 90.00°, β = 90.00°, γ = 90.00°
Fractional positions:
Ag1 0.0000 0.0000 0.5000
Ag2 0.0000 0.5000 0.0000
Ag3 0.5000 0.0000 0.0000
Ni1 0.5000 0.5000 0.5000
Pt1 0.0000 0.0000 0.0000

=====

No. 3
Here is a relaxed structure of LiSmIn2 from the Alexandria database. Energies are from PBE.

Values from the calculation:
The formation energy is -0.3919 eV/atom. Its space group is Fm-3m. As for the spin magnetization: 0.0 μB/f.u. The calculated total energy comes out at -3.419 eV per atom.

a = 5.1901 Å, b = 5.1901 Å, c = 5.1901 Å
α = 60.00°, β = 60.00°, γ = 60.00°
Fractional positions:
In1 0.5000 0.5000 0.5000
In2 0.0000 0.0000 0.0000
Sm1 0.7500 0.7500 0.7500
Li1 0.2500 0.2500 0.2500

=====

No. 4
Here is a relaxed structure of CaY2TlHg4 from the Alexandria database. Energies are from PBE.

Values from the calculation:
The formation energy is -0.4156 eV/atom. Its space group is R-3m. As for the spin magnetization: 0.0 μB/f.u. The calculated total energy comes out at -2.729 eV per atom.

a = 5.2230 Å, b = 5.2230 Å, c = 9.2147 Å
α = 73.54°, β = 73.54°, γ = 60.00°
Fractional positions:
Ca1 0.0000 0.0000 0.0000
Tl1 0.5000 0.5000 0.5000
Hg1 0.1202 0.1202 0.6395
Hg2 0.3681 0.3681 0.8958
Hg3 0.6319 0.6319 0.1042
Hg4 0.8798 0.8798 0.3605
Y1 0.2442 0.2442 0.2674
Y2 0.7558 0.7558 0.7326

=====

No. 5
Here is a relaxed structure of Sc2TaVGe from the Alexandria database. Energies are from PBE.

Values from the calculation:
The formation energy is 1.1930 eV/atom. Its space group is P4/mmm. As for the spin magnetization: 0.1 μB/f.u. The calculated total energy comes out at -6.457 eV per atom.

a = 5.0228 Å, b = 4.9578 Å, c = 5.0228 Å
α = 90.00°, β = 90.00°, γ = 90.00°
Fractional positions:
V1 0.5000 0.5000 0.5000
Ta1 0.0000 0.0000 0.0000
Sc1 0.0000 0.0000 0.5000
Sc2 0.5000 0.0000 0.0000
Ge1 0.0000 0.5000 0.0000

=====

No. 6
Here is a relaxed structure of ScMnNiPd from the Alexandria database. Energies are from PBE.

Values from the calculation:
The formation energy is -0.3900 eV/atom. Its space group is F-43m. As for the spin magnetization: 4.4 μB/f.u. The calculated total energy comes out at -7.009 eV per atom.

a = 4.4400 Å, b = 4.4400 Å, c = 4.4400 Å
α = 60.00°, β = 60.00°, γ = 60.00°
Fractional positions:
Sc1 0.5000 0.5000 0.5000
Ni1 0.2500 0.2500 0.2500
Mn1 0.0000 0.0000 0.0000
Pd1 0.7500 0.7500 0.7500

=====

No. 7
Here is a relaxed structure of LaY2Pb2 from the Alexandria database. Energies are from PBE.

Values from the calculation:
The value obtained for the energy above the most stable polymorph in this dataset is 0.89 eV/f.u. The formation energy is -0.3179 eV/atom. Its space group is P2_1/m. As for the spin magnetization: 0.8 μB/f.u. The calculated total energy comes out at -5.372 eV per atom.

a = 4.1251 Å, b = 5.8374 Å, c = 13.5402 Å
α = 95.68°, β = 90.00°, γ = 90.00°
Fractional positions:
Y1 0.2500 0.2538 0.5259
Y2 0.2500 0.8272 0.8942
Y3 0.7500 0.1727 0.1058
Y4 0.7500 0.7462 0.4741
La1 0.2500 0.7058 0.2549
La2 0.7500 0.2942 0.7451
Pb1 0.7500 0.6720 0.0567
Pb2 0.7500 0.2204 0.3373
Pb3 0.2500 0.3280 0.9433
Pb4 0.2500 0.7796 0.6627

=====

No. 8
Here is a relaxed structure of BeSiCl from the Alexandria database. Energies are from PBE.

Values from the calculation:
The value obtained for the energy above the most stable polymorph in this dataset is 1.76 eV/f.u. Its space group is I4mm. As for the spin magnetization: 0.0 μB/f.u. The calculated total energy comes out at -3.352 eV per atom. The formation energy from raw total energies is 0.314 eV per atom.

a = 7.6425 Å, b = 7.6425 Å, c = 7.6425 Å
α = 158.78°, β = 158.78°, γ = 30.19°
Fractional positions:
Be1 0.9889 0.9889 0.0000
Cl1 0.4005 0.4005 0.0000
Si1 0.6106 0.6106 0.0000

=====

No. 9
Here is a relaxed structure of DyHo3Tm8 from the Alexandria database. Energies are from PBE.

Values from the calculation:
The formation energy is 0.7319 eV/atom. Its space group is I4/mmm. As for the spin magnetization: 0.0 μB/f.u. The calculated total energy comes out at -3.777 eV per atom.

a = 7.5691 Å, b = 7.5691 Å, c = 9.2804 Å
α = 114.07°, β = 114.07°, γ = 90.00°
Fractional positions:
Ho1 0.7500 0.2500 0.5000
Ho2 0.5000 0.5000 0.0000
Ho3 0.2500 0.7500 0.5000
Tm1 0.1250 0.1250 0.7497
Tm2 0.6247 0.1250 0.7497
Tm3 0.3753 0.3753 0.2503
Tm4 0.3753 0.8750 0.2503
Tm5 0.1250 0.6247 0.7497
Tm6 0.8750 0.8750 0.2503
Tm7 0.8750 0.3753 0.2503
Tm8 0.6247 0.6247 0.7497
Dy1 0.0000 0.0000 0.0000

=====

No. 10
Here is a relaxed structure of Pm2TmHg from the Alexandria database. Energies are from PBE.

Values from the calculation:
The value obtained for the energy above the most stable polymorph in this dataset is 1.26 eV/f.u. The formation energy is 0.0880 eV/atom. Its space group is R-3m. As for the spin magnetization: 0.0 μB/f.u. The calculated total energy comes out at -3.481 eV per atom.

a = 3.5267 Å, b = 3.5267 Å, c = 12.3558 Å
α = 81.80°, β = 81.80°, γ = 60.00°
Fractional positions:
Hg1 0.0000 0.0000 0.0000
Pm1 0.9109 0.9109 0.2673
Pm2 0.0891 0.0891 0.7327
Tm1 0.5000 0.5000 0.5000

=====

No. 11
Here is a relaxed structure of Nd12SmTl4O3 from the Alexandria database. Energies are from PBE.

Values from the calculation:
Its space group is Im-3m. As for the spin magnetization: 0.4 μB/f.u. The calculated total energy comes out at -5.048 eV per atom. The formation energy from raw total energies is -0.735 eV per atom.

a = 8.9265 Å, b = 8.9265 Å, c = 8.9265 Å
α = 109.47°, β = 109.47°, γ = 109.47°
Fractional positions:
Tl1 0.0000 0.0000 0.5000
Tl2 0.0000 0.5000 0.0000
Tl3 0.5000 0.0000 0.0000
Tl4 0.5000 0.5000 0.5000
Nd1 0.5000 0.7500 0.2500
Nd2 0.7267 0.0000 0.7267
Nd3 0.0000 0.2733 0.2733
Nd4 0.5000 0.2500 0.7500
Nd5 0.2500 0.5000 0.7500
Nd6 0.0000 0.7267 0.7267
Nd7 0.7500 0.5000 0.2500
Nd8 0.2733 0.0000 0.2733
Nd9 0.7500 0.2500 0.5000
Nd10 0.7267 0.7267 0.0000
Nd11 0.2500 0.7500 0.5000
Nd12 0.2733 0.2733 0.0000
O1 0.5000 0.0000 0.5000
O2 0.0000 0.5000 0.5000
O3 0.5000 0.5000 0.0000
Sm1 0.0000 0.0000 0.0000

=====

No. 12
Here is a relaxed structure of CaSc2Au from the Alexandria database. Energies are from PBE.

Values from the calculation:
The value obtained for the energy above the most stable polymorph in this dataset is 0.74 eV/f.u. The formation energy is -0.1620 eV/atom. Its space group is R3m. As for the spin magnetization: 0.4 μB/f.u. The calculated total energy comes out at -4.648 eV per atom.

a = 9.9517 Å, b = 9.9517 Å, c = 9.9517 Å
α = 20.46°, β = 20.46°, γ = 20.46°
Fractional positions:
Au1 0.5065 0.5065 0.5065
Sc1 0.9923 0.9923 0.9923
Sc2 0.2397 0.2397 0.2397
Ca1 0.7616 0.7616 0.7616

=====

No. 13
Here is a relaxed structure of CsAlAs2N from the Alexandria database. Energies are from PBE.

Values from the calculation:
Its space group is P4/mmm. As for the spin magnetization: 0.0 μB/f.u. The calculated total energy comes out at -3.940 eV per atom. The formation energy from raw total energies is 0.504 eV per atom.

a = 5.8520 Å, b = 3.5195 Å, c = 5.8520 Å
α = 90.00°, β = 90.00°, γ = 90.00°
Fractional positions:
As1 0.5000 0.0000 0.0000
As2 0.0000 0.0000 0.5000
N1 0.0000 0.5000 0.0000
Al1 0.0000 0.0000 0.0000
Cs1 0.5000 0.5000 0.5000